1.
Material: LiLaMg2Ag2
Method: DFT, PBE
State: relaxed

Crystal system = tetragonal
Space group = I4/mmm, No. 139
Spin magnetization = 0.00 Bohr magnetons per cell
Formation energy from the elements = 48.0 meV/atom
DOS at the Fermi energy = 0.741 states/eV per atom

a b c (Å): 5.3266 5.3266 11.0517
angles (deg): 90.00 90.00 90.00
Closest atoms and distances in Å follow each position.
Positions (direct):
Li  0.0000  0.0000  0.0000  2 Ag 2.43
Li  0.5000  0.5000  0.5000  2 Ag 2.43
La  0.0000  0.0000  0.5000  2 Ag 3.09
La  0.5000  0.5000  0.0000  2 Ag 3.09
Mg  0.0000  0.5000  0.2500  4 Ag 2.68
Mg  0.0000  0.5000  0.7500  4 Ag 2.68
Mg  0.5000  0.0000  0.2500  4 Ag 2.68
Mg  0.5000  0.0000  0.7500  4 Ag 2.68
Ag  0.0000  0.0000  0.2203  1 Li 2.43, 4 Mg 2.68
Ag  0.0000  0.0000  0.7797  1 Li 2.43, 4 Mg 2.68
Ag  0.5000  0.5000  0.2797  1 Li 2.43, 4 Mg 2.68
Ag  0.5000  0.5000  0.7203  1 Li 2.43, 4 Mg 2.68

***

2.
Material: MnPOs
Method: DFT, PBE
State: relaxed

Crystal system = tetragonal
Space group = I4mm, No. 107
Spin magnetization = 0.00 Bohr magnetons per cell
Formation energy from the elements = -93.3 meV/atom
DOS at the Fermi energy = 0.718 states/eV per atom

a b c (Å): 2.8147 2.8147 9.0939
angles (deg): 90.00 90.00 90.00
Closest atoms and distances in Å follow each position.
Positions (direct):
Mn  0.0000  0.0000  0.0000  4 P 2.34
Mn  0.5000  0.5000  0.5000  4 P 2.34
P  0.0000  0.0000  0.6363  4 Mn 2.34, 4 Os 2.49
P  0.5000  0.5000  0.1363  4 Mn 2.34, 4 Os 2.49
Os  0.0000  0.0000  0.3005  4 P 2.49, 5 Mn 2.69-2.73
Os  0.5000  0.5000  0.8005  4 P 2.49, 5 Mn 2.69-2.73

***

3.
Material: DyTm2Pa
Method: DFT, PBE
State: relaxed

Crystal system = trigonal
E above lowest polymorph = 0 meV per atom
Space group = R3m, No. 160
Spin magnetization = 0.00 Bohr magnetons per cell
Formation energy from the elements = 99.5 meV/atom
DOS at the Fermi energy = 1.666 states/eV per atom

a b c (Å): 3.4015 3.4015 34.2230
angles (deg): 90.00 90.00 120.00
Closest atoms and distances in Å follow each position.
Positions (direct):
Dy  0.0000  0.0000  0.0000  6 Dy 3.40, 6 Tm 3.52-3.54
Dy  0.3333  0.6667  0.6667  6 Dy 3.40, 6 Tm 3.52-3.54
Dy  0.6667  0.3333  0.3333  6 Dy 3.40, 6 Tm 3.52-3.54
Tm  0.0000  0.0000  0.4186  3 Pa 3.38, 6 Tm 3.40, 3 Dy 3.52
Tm  0.0000  0.0000  0.5806  6 Tm 3.40, 3 Pa 3.41, 3 Dy 3.54
Tm  0.3333  0.6667  0.0853  3 Pa 3.38, 6 Tm 3.40, 3 Dy 3.52
Tm  0.3333  0.6667  0.2473  6 Tm 3.40, 3 Pa 3.41, 3 Dy 3.54
Tm  0.6667  0.3333  0.7520  3 Pa 3.38, 6 Tm 3.40, 3 Dy 3.52
Tm  0.6667  0.3333  0.9139  6 Tm 3.40, 3 Pa 3.41, 3 Dy 3.54
Pa  0.0000  0.0000  0.1659  6 Tm 3.38-3.41, 6 Pa 3.40
Pa  0.3333  0.6667  0.8325  6 Tm 3.38-3.41, 6 Pa 3.40
Pa  0.6667  0.3333  0.4992  6 Tm 3.38-3.41, 6 Pa 3.40

***

4.
Material: TbCe2Tm
Method: DFT, PBE
State: relaxed

Crystal system = trigonal
E above lowest polymorph = 0 meV per atom
Space group = R-3m, No. 166
Spin magnetization = 4.44 Bohr magnetons per cell
Formation energy from the elements = 86.2 meV/atom
DOS at the Fermi energy = 2.583 states/eV per atom

a b c (Å): 3.4728 3.4728 34.3435
angles (deg): 90.00 90.00 120.00
Closest atoms and distances in Å follow each position.
Positions (direct):
Tb  0.0000  0.0000  0.0000  6 Tb 3.47, 6 Ce 3.51
Tb  0.3333  0.6667  0.6667  6 Tb 3.47, 6 Ce 3.51
Tb  0.6667  0.3333  0.3333  6 Tb 3.47, 6 Ce 3.51
Ce  0.0000  0.0000  0.2493  6 Ce 3.47, 3 Tm 3.48, 3 Tb 3.51
Ce  0.0000  0.0000  0.7507  6 Ce 3.47, 3 Tm 3.48, 3 Tb 3.51
Ce  0.3333  0.6667  0.4173  6 Ce 3.47, 3 Tm 3.48, 3 Tb 3.51
Ce  0.3333  0.6667  0.9160  6 Ce 3.47, 3 Tm 3.48, 3 Tb 3.51
Ce  0.6667  0.3333  0.0840  6 Ce 3.47, 3 Tm 3.48, 3 Tb 3.51
Ce  0.6667  0.3333  0.5827  6 Ce 3.47, 3 Tm 3.48, 3 Tb 3.51
Tm  0.0000  0.0000  0.5000  6 Tm 3.47, 6 Ce 3.48
Tm  0.3333  0.6667  0.1667  6 Tm 3.47, 6 Ce 3.48
Tm  0.6667  0.3333  0.8333  6 Tm 3.47, 6 Ce 3.48

***

5.
Material: CeMnGeH2
Method: DFT, PBE
State: relaxed

Crystal system = orthorhombic
Space group = Cmcm, No. 63
Spin magnetization = 2.17 Bohr magnetons per cell
Electronic total energy = -5.757 eV per atom
DOS at the Fermi energy = 0.961 states/eV per atom

a b c (Å): 5.6734 5.6734 5.7419
angles (deg): 90.00 90.00 138.99
Closest atoms and distances in Å follow each position.
Positions (direct):
Ce  0.2057  0.7943  0.7500  6 H 2.32-2.33
Ce  0.7943  0.2057  0.2500  6 H 2.32-2.33
Mn  0.5000  0.5000  0.0000  2 H 1.68
Mn  0.5000  0.5000  0.5000  2 H 1.68
Ge  0.0754  0.9246  0.2500  4 Mn 2.58, 4 H 2.80
Ge  0.9246  0.0754  0.7500  4 Mn 2.58, 4 H 2.80
H  0.3451  0.6549  0.0614  1 Mn 1.68
H  0.3451  0.6549  0.4386  1 Mn 1.68
H  0.6549  0.3451  0.5614  1 Mn 1.68
H  0.6549  0.3451  0.9386  1 Mn 1.68

***

6.
Material: CsHfGa
Method: DFT, PBE
State: relaxed

Crystal system = orthorhombic
E above lowest polymorph = 207 meV per atom
Space group = Pnma, No. 62
Spin magnetization = 0.00 Bohr magnetons per cell
Formation energy from the elements = 357.1 meV/atom
DOS at the Fermi energy = 1.046 states/eV per atom

a b c (Å): 14.0818 5.6598 5.0590
angles (deg): 90.00 90.00 90.00
Closest atoms and distances in Å follow each position.
Positions (direct):
Cs  0.2488  0.2500  0.2377  2 Hf 3.74-3.75, 4 Cs 3.80, 4 Ga 3.97-4.03
Cs  0.2512  0.7500  0.7377  2 Hf 3.74-3.75, 4 Cs 3.80, 4 Ga 3.97-4.03
Cs  0.7488  0.2500  0.2623  2 Hf 3.74-3.75, 4 Cs 3.80, 4 Ga 3.97-4.03
Cs  0.7512  0.7500  0.7623  2 Hf 3.74-3.75, 4 Cs 3.80, 4 Ga 3.97-4.03
Hf  0.0001  0.2500  0.5013  2 Hf 2.83, 4 Ga 2.89-2.90
Hf  0.9999  0.7500  0.4987  2 Hf 2.83, 4 Ga 2.89-2.90
Hf  0.5001  0.2500  0.9987  2 Hf 2.83, 4 Ga 2.89-2.90
Hf  0.4999  0.7500  0.0013  2 Hf 2.83, 4 Ga 2.89-2.90
Ga  0.0000  0.0000  0.0000  2 Ga 2.83, 4 Hf 2.89-2.90
Ga  0.0000  0.5000  0.0000  2 Ga 2.83, 4 Hf 2.89-2.90
Ga  0.5000  0.0000  0.5000  2 Ga 2.83, 4 Hf 2.89-2.90
Ga  0.5000  0.5000  0.5000  2 Ga 2.83, 4 Hf 2.89-2.90

***

7.
Material: NaNdInPd
Method: DFT, PBE
State: relaxed

Crystal system = cubic
Space group = F-43m, No. 216
Spin magnetization = 0.00 Bohr magnetons per cell
Formation energy from the elements = -386.3 meV/atom
DOS at the Fermi energy = 1.472 states/eV per atom

a b c (Å): 7.1182 7.1182 7.1182
angles (deg): 90.00 90.00 90.00
Closest atoms and distances in Å follow each position.
Positions (direct):
Na  0.0000  0.0000  0.0000  4 In 3.08, 4 Nd 3.08
Na  0.0000  0.5000  0.5000  4 In 3.08, 4 Nd 3.08
Na  0.5000  0.0000  0.5000  4 In 3.08, 4 Nd 3.08
Na  0.5000  0.5000  0.0000  4 In 3.08, 4 Nd 3.08
Nd  0.2500  0.2500  0.7500  4 Na 3.08, 4 Pd 3.08
Nd  0.2500  0.7500  0.2500  4 Na 3.08, 4 Pd 3.08
Nd  0.7500  0.2500  0.2500  4 Na 3.08, 4 Pd 3.08
Nd  0.7500  0.7500  0.7500  4 Na 3.08, 4 Pd 3.08
In  0.2500  0.2500  0.2500  4 Na 3.08, 4 Pd 3.08
In  0.2500  0.7500  0.7500  4 Na 3.08, 4 Pd 3.08
In  0.7500  0.2500  0.7500  4 Na 3.08, 4 Pd 3.08
In  0.7500  0.7500  0.2500  4 Na 3.08, 4 Pd 3.08
Pd  0.0000  0.0000  0.5000  4 In 3.08, 4 Nd 3.08
Pd  0.0000  0.5000  0.0000  4 In 3.08, 4 Nd 3.08
Pd  0.5000  0.0000  0.0000  4 In 3.08, 4 Nd 3.08
Pd  0.5000  0.5000  0.5000  4 In 3.08, 4 Nd 3.08

***

8.
Material: OsRu2Br
Method: DFT, PBE
State: relaxed

Crystal system = orthorhombic
E above lowest polymorph = 533 meV per atom
Space group = Pmmm, No. 47
Spin magnetization = 0.01 Bohr magnetons per cell
E_form (uncorrected) = 1159 meV/atom
DOS at the Fermi energy = 1.496 states/eV per atom

a b c (Å): 2.8468 4.6013 4.6743
angles (deg): 90.00 90.00 90.00
Closest atoms and distances in Å follow each position.
Positions (direct):
Os  0.0000  0.0000  0.0000  4 Ru 2.71, 4 Br 2.74, 2 Os 2.85
Ru  0.0000  0.5000  0.5000  4 Br 2.71, 6 Ru 2.74-2.85
Ru  0.5000  0.5000  0.0000  4 Os 2.71, 6 Ru 2.74-2.85
Br  0.5000  0.0000  0.5000  4 Ru 2.71, 4 Os 2.74, 2 Br 2.85

***

What did the sixth record say?
Material: CsHfGa
Method: DFT, PBE
State: relaxed

Crystal system = orthorhombic
E above lowest polymorph = 207 meV per atom
Space group = Pnma, No. 62
Spin magnetization = 0.00 Bohr magnetons per cell
Formation energy from the elements = 357.1 meV/atom
DOS at the Fermi energy = 1.046 states/eV per atom

a b c (Å): 14.0818 5.6598 5.0590
angles (deg): 90.00 90.00 90.00
Closest atoms and distances in Å follow each position.
Positions (direct):
Cs  0.2488  0.2500  0.2377  2 Hf 3.74-3.75, 4 Cs 3.80, 4 Ga 3.97-4.03
Cs  0.2512  0.7500  0.7377  2 Hf 3.74-3.75, 4 Cs 3.80, 4 Ga 3.97-4.03
Cs  0.7488  0.2500  0.2623  2 Hf 3.74-3.75, 4 Cs 3.80, 4 Ga 3.97-4.03
Cs  0.7512  0.7500  0.7623  2 Hf 3.74-3.75, 4 Cs 3.80, 4 Ga 3.97-4.03
Hf  0.0001  0.2500  0.5013  2 Hf 2.83, 4 Ga 2.89-2.90
Hf  0.9999  0.7500  0.4987  2 Hf 2.83, 4 Ga 2.89-2.90
Hf  0.5001  0.2500  0.9987  2 Hf 2.83, 4 Ga 2.89-2.90
Hf  0.4999  0.7500  0.0013  2 Hf 2.83, 4 Ga 2.89-2.90
Ga  0.0000  0.0000  0.0000  2 Ga 2.83, 4 Hf 2.89-2.90
Ga  0.0000  0.5000  0.0000  2 Ga 2.83, 4 Hf 2.89-2.90
Ga  0.5000  0.0000  0.5000  2 Ga 2.83, 4 Hf 2.89-2.90
Ga  0.5000  0.5000  0.5000  2 Ga 2.83, 4 Hf 2.89-2.90

***

- Which value of DOS at the Fermi energy does entry 2 give?
  0.718 states/eV per atom

***

- Which value of spin magnetization does entry 1 give?
  0.00 Bohr magnetons per cell

***

- Which value of spin magnetization does entry 1 give?
  0.00 Bohr magnetons per cell